[1]
The following is a GGA-PBE calculation of a relaxed TaTe2IrI crystal, from Alexandria via LeMat-Bulk.

Computed properties:
Electronic total energy (eV per atom): -4.4599
E above lowest polymorph (meV per atom): 33
ΔE_f (raw) (kcal/mol of atoms): 28.8

Geometry as CIF:
```
data_TaTe2IrI
_chemical_formula_sum 'Ta1 Te2 Ir1 I1'
_symmetry_space_group_name_H-M 'P 4/m m m'
_symmetry_Int_Tables_number 123
_symmetry_space_group_name_Hall '-P 4 2'
_cell_length_a 5.338
_cell_length_b 5.338
_cell_length_c 5.555
_cell_angle_alpha 90.00
_cell_angle_beta 90.00
_cell_angle_gamma 90.00
loop_
_atom_site_label
_atom_site_fract_x
_atom_site_fract_y
_atom_site_fract_z
Ta1 0.000 0.000 0.000
Te1 0.000 0.500 0.000
Ir1 0.500 0.500 0.500
I1 0.000 0.000 0.500
```

=====

[2]
The following is a GGA-PBE calculation of a relaxed TaTe2IrI crystal, from Alexandria via LeMat-Bulk.

Computed properties:
Electronic total energy (eV per atom): -4.4927
E above lowest polymorph (meV per atom): 0
ΔE_f (raw) (kcal/mol of atoms): 28.1

Geometry as CIF:
```
data_TaTe2IrI
_chemical_formula_sum 'Ta1 Te2 Ir1 I1'
_symmetry_space_group_name_H-M 'P 4/m m m'
_symmetry_Int_Tables_number 123
_symmetry_space_group_name_Hall '-P 4 2'
_cell_length_a 5.179
_cell_length_b 5.179
_cell_length_c 5.178
_cell_angle_alpha 90.00
_cell_angle_beta 90.00
_cell_angle_gamma 90.00
loop_
_atom_site_label
_atom_site_fract_x
_atom_site_fract_y
_atom_site_fract_z
Ta1 0.000 0.000 0.000
Te1 0.000 0.500 0.500
Ir1 0.500 0.500 0.500
I1 0.500 0.500 0.000
```

=====

[3]
The following is a GGA-PBE calculation of a relaxed TaTeIrI2 crystal, from Alexandria via LeMat-Bulk.

Computed properties:
Electronic total energy (eV per atom): -4.0656
E above lowest polymorph (meV per atom): 17
ΔE_f (raw) (kcal/mol of atoms): 30.6

Geometry as CIF:
```
data_TaTeIrI2
_chemical_formula_sum 'Ta1 Te1 Ir1 I2'
_symmetry_space_group_name_H-M 'P 4/m m m'
_symmetry_Int_Tables_number 123
_symmetry_space_group_name_Hall '-P 4 2'
_cell_length_a 5.226
_cell_length_b 5.226
_cell_length_c 5.253
_cell_angle_alpha 90.00
_cell_angle_beta 90.00
_cell_angle_gamma 90.00
loop_
_atom_site_label
_atom_site_fract_x
_atom_site_fract_y
_atom_site_fract_z
Ta1 0.000 0.000 0.000
Te1 0.500 0.500 0.000
Ir1 0.500 0.500 0.500
I1 0.000 0.500 0.500
```

=====

[4]
The following is a GGA-PBE calculation of a relaxed Ta2TiIrI crystal, from Alexandria via LeMat-Bulk.

Computed properties:
Electronic total energy (eV per atom): -6.5921
ΔE_f (raw) (kcal/mol of atoms): 41.7

Geometry as CIF:
```
data_Ta2TiIrI
_chemical_formula_sum 'Ta2 Ti1 Ir1 I1'
_symmetry_space_group_name_H-M 'P 4/m m m'
_symmetry_Int_Tables_number 123
_symmetry_space_group_name_Hall '-P 4 2'
_cell_length_a 4.722
_cell_length_b 4.722
_cell_length_c 4.888
_cell_angle_alpha 90.00
_cell_angle_beta 90.00
_cell_angle_gamma 90.00
loop_
_atom_site_label
_atom_site_fract_x
_atom_site_fract_y
_atom_site_fract_z
Ta1 0.000 0.500 0.000
Ti1 0.000 0.000 0.000
Ir1 0.500 0.500 0.500
I1 0.000 0.000 0.500
```

=====

[5]
The following is a GGA-PBE calculation of a relaxed TaTl2IrI crystal, from Alexandria via LeMat-Bulk.

Computed properties:
Electronic total energy (eV per atom): -4.0743
ΔE_f (raw) (kcal/mol of atoms): 30.6

Geometry as CIF:
```
data_TaTl2IrI
_chemical_formula_sum 'Ta1 Tl2 Ir1 I1'
_symmetry_space_group_name_H-M 'P 4/m m m'
_symmetry_Int_Tables_number 123
_symmetry_space_group_name_Hall '-P 4 2'
_cell_length_a 5.224
_cell_length_b 5.224
_cell_length_c 5.497
_cell_angle_alpha 90.00
_cell_angle_beta 90.00
_cell_angle_gamma 90.00
loop_
_atom_site_label
_atom_site_fract_x
_atom_site_fract_y
_atom_site_fract_z
Ta1 0.000 0.000 0.000
Tl1 0.000 0.500 0.500
Ir1 0.500 0.500 0.500
I1 0.500 0.500 0.000
```

=====

[6]
The following is a GGA-PBE calculation of a relaxed Tb2IrI3 crystal, from Alexandria via LeMat-Bulk.

Computed properties:
Electronic total energy (eV per atom): -4.7994
ΔE_f (raw) (kcal/mol of atoms): -23.2

Geometry as CIF:
```
data_Tb2IrI3
_chemical_formula_sum 'Tb8 Ir4 I12'
_symmetry_space_group_name_H-M 'C 1 2/m 1'
_symmetry_Int_Tables_number 12
_symmetry_space_group_name_Hall '-C 2y'
_cell_length_a 18.273
_cell_length_b 4.322
_cell_length_c 12.584
_cell_angle_alpha 90.00
_cell_angle_beta 122.48
_cell_angle_gamma 90.00
loop_
_atom_site_label
_atom_site_fract_x
_atom_site_fract_y
_atom_site_fract_z
Tb1 0.079 0.000 0.406
Tb2 0.129 0.500 0.801
Ir1 0.076 0.000 0.636
I1 0.051 0.500 0.210
I2 0.165 0.000 0.023
I3 0.203 0.500 0.604
```

=====

[7]
The following is a GGA-PBE calculation of a relaxed TbIrI crystal, from Alexandria via LeMat-Bulk.

Computed properties:
Electronic total energy (eV per atom): -5.4324
E above lowest polymorph (meV per atom): 661
ΔE_f (raw) (kcal/mol of atoms): -9.7

Geometry as CIF:
```
data_TbIrI
_chemical_formula_sum 'Tb4 Ir4 I4'
_symmetry_space_group_name_H-M 'C 1 2/m 1'
_symmetry_Int_Tables_number 12
_symmetry_space_group_name_Hall '-C 2y'
_cell_length_a 13.380
_cell_length_b 3.908
_cell_length_c 6.052
_cell_angle_alpha 90.00
_cell_angle_beta 94.26
_cell_angle_gamma 90.00
loop_
_atom_site_label
_atom_site_fract_x
_atom_site_fract_y
_atom_site_fract_z
Tb1 0.161 0.000 0.159
Ir1 0.213 0.000 0.634
I1 0.080 0.500 0.764
```

=====

[8]
The following is a GGA-PBE calculation of a relaxed Tb4IrI5 crystal, from Alexandria via LeMat-Bulk.

Computed properties:
Electronic total energy (eV per atom): -4.6980
ΔE_f (raw) (kcal/mol of atoms): -27.3

Geometry as CIF:
```
data_Tb4IrI5
_chemical_formula_sum 'Tb8 Ir2 I10'
_symmetry_space_group_name_H-M 'C 1 2/m 1'
_symmetry_Int_Tables_number 12
_symmetry_space_group_name_Hall '-C 2y'
_cell_length_a 19.674
_cell_length_b 4.163
_cell_length_c 8.944
_cell_angle_alpha 90.00
_cell_angle_beta 102.54
_cell_angle_gamma 90.00
loop_
_atom_site_label
_atom_site_fract_x
_atom_site_fract_y
_atom_site_fract_z
Tb1 0.000 0.000 0.201
Tb2 0.143 0.500 0.075
Ir1 0.000 0.500 0.000
I1 0.000 0.500 0.500
I2 0.168 0.000 0.343
I3 0.177 0.000 0.832
```

=====

[9]
The following is a GGA-PBE calculation of a relaxed Tb6IrI10 crystal, from Alexandria via LeMat-Bulk.

Computed properties:
Electronic total energy (eV per atom): -4.3378
ΔE_f (raw) (kcal/mol of atoms): -29.3

Geometry as CIF:
```
data_Tb6IrI10
_chemical_formula_sum 'Tb6 Ir1 I10'
_symmetry_space_group_name_H-M 'P -1'
_symmetry_Int_Tables_number 2
_symmetry_space_group_name_Hall '-P 1'
_cell_length_a 7.785
_cell_length_b 9.746
_cell_length_c 9.812
_cell_angle_alpha 107.03
_cell_angle_beta 96.60
_cell_angle_gamma 104.21
loop_
_atom_site_label
_atom_site_fract_x
_atom_site_fract_y
_atom_site_fract_z
Tb1 0.035 0.219 0.417
Tb2 0.116 0.543 0.260
Tb3 0.347 0.624 0.666
Ir1 0.000 0.500 0.500
I1 0.087 0.873 0.322
I2 0.227 0.246 0.156
I3 0.254 0.585 0.960
I4 0.343 0.949 0.772
I5 0.455 0.315 0.591
```

=====

[10]
The following is a GGA-PBE calculation of a relaxed Tb2IrI2 crystal, from Alexandria via LeMat-Bulk.

Computed properties:
Electronic total energy (eV per atom): -5.3224
E above lowest polymorph (meV per atom): 2
ΔE_f (raw) (kcal/mol of atoms): -24.9

Geometry as CIF:
```
data_Tb2IrI2
_chemical_formula_sum 'Tb4 Ir2 I4'
_symmetry_space_group_name_H-M 'C 1 2/m 1'
_symmetry_Int_Tables_number 12
_symmetry_space_group_name_Hall '-C 2y'
_cell_length_a 7.181
_cell_length_b 4.144
_cell_length_c 12.145
_cell_angle_alpha 90.00
_cell_angle_beta 102.61
_cell_angle_gamma 90.00
loop_
_atom_site_label
_atom_site_fract_x
_atom_site_fract_y
_atom_site_fract_z
Tb1 0.214 0.000 0.127
Ir1 0.000 0.500 0.000
I1 0.053 0.000 0.693
```

=====

[11]
The following is a GGA-PBE calculation of a relaxed Tb2IrI2 crystal, from Alexandria via LeMat-Bulk.

Computed properties:
Electronic total energy (eV per atom): -5.3246
E above lowest polymorph (meV per atom): 0
ΔE_f (raw) (kcal/mol of atoms): -24.9

Geometry as CIF:
```
data_Tb2IrI2
_chemical_formula_sum 'Tb4 Ir2 I4'
_symmetry_space_group_name_H-M 'C 1 2/m 1'
_symmetry_Int_Tables_number 12
_symmetry_space_group_name_Hall '-C 2y'
_cell_length_a 7.175
_cell_length_b 4.140
_cell_length_c 11.821
_cell_angle_alpha 90.00
_cell_angle_beta 102.21
_cell_angle_gamma 90.00
loop_
_atom_site_label
_atom_site_fract_x
_atom_site_fract_y
_atom_site_fract_z
Tb1 0.121 0.000 0.369
Ir1 0.000 0.500 0.500
I1 0.224 0.500 0.185
```

=====

[12]
The following is a GGA-PBE calculation of a relaxed TbIrI crystal, from Alexandria via LeMat-Bulk.

Computed properties:
Electronic total energy (eV per atom): -6.0933
E above lowest polymorph (meV per atom): 0
ΔE_f (raw) (kcal/mol of atoms): -24.9

Geometry as CIF:
```
data_TbIrI
_chemical_formula_sum 'Tb6 Ir6 I6'
_symmetry_space_group_name_H-M 'R -3 m'
_symmetry_Int_Tables_number 166
_symmetry_space_group_name_Hall '-R 3 2"'
_cell_length_a 4.3169
_cell_length_b 4.3169
_cell_length_c 35.7237
_cell_angle_alpha 90.00
_cell_angle_beta 90.00
_cell_angle_gamma 120.00
loop_
_atom_site_label
_atom_site_fract_x
_atom_site_fract_y
_atom_site_fract_z
Tb1 0.0000 0.0000 0.0506
Ir1 0.0000 0.0000 0.3344
I1 0.0000 0.0000 0.2249
```

=====

[13]
The following is a GGA-PBE calculation of a relaxed Tb7IrI12 crystal, from Alexandria via LeMat-Bulk.

Computed properties:
Electronic total energy (eV per atom): -4.2680
ΔE_f (raw) (kcal/mol of atoms): -29.4

Geometry as CIF:
```
data_Tb7IrI12
_chemical_formula_sum 'Tb21 Ir3 I36'
_symmetry_space_group_name_H-M 'R -3'
_symmetry_Int_Tables_number 148
_symmetry_space_group_name_Hall '-R 3'
_cell_length_a 15.8151
_cell_length_b 15.8151
_cell_length_c 11.0523
_cell_angle_alpha 90.00
_cell_angle_beta 90.00
_cell_angle_gamma 120.00
loop_
_atom_site_label
_atom_site_fract_x
_atom_site_fract_y
_atom_site_fract_z
Tb1 0.0000 0.0000 0.0000
Tb2 0.0425 0.8840 0.3631
Ir1 0.0000 0.0000 0.5000
I1 0.0188 0.4325 0.1563
I2 0.0481 0.8740 0.8368
```

=====

[14]
The following is a GGA-PBE calculation of a relaxed TbYIrI crystal, from Alexandria via LeMat-Bulk.

Computed properties:
Electronic total energy (eV per atom): -6.3297
ΔE_f (raw) (kcal/mol of atoms): -22.0

Geometry as CIF:
```
data_TbYIrI
_chemical_formula_sum 'Tb2 Y2 Ir2 I2'
_symmetry_space_group_name_H-M 'C 1 m 1'
_symmetry_Int_Tables_number 8
_symmetry_space_group_name_Hall 'C -2y'
_cell_length_a 7.174
_cell_length_b 4.142
_cell_length_c 8.245
_cell_angle_alpha 90.00
_cell_angle_beta 106.92
_cell_angle_gamma 90.00
loop_
_atom_site_label
_atom_site_fract_x
_atom_site_fract_y
_atom_site_fract_z
Tb1 0.000 0.000 0.000
Y1 0.286 0.500 0.357
Ir1 0.392 0.000 0.177
I1 0.223 0.000 0.666
```

=====

[15]
The following is a GGA-PBE calculation of a relaxed Tc2IrI crystal, from Alexandria via LeMat-Bulk.

Computed properties:
Electronic total energy (eV per atom): -6.9294
E above lowest polymorph (meV per atom): 0
ΔE_f (raw) (kcal/mol of atoms): 19.7

Geometry as CIF:
```
data_Tc2IrI
_chemical_formula_sum 'Tc8 Ir4 I4'
_symmetry_space_group_name_H-M 'F m -3 m'
_symmetry_Int_Tables_number 225
_symmetry_space_group_name_Hall '-F 4 2 3'
_cell_length_a 6.402
_cell_length_b 6.402
_cell_length_c 6.402
_cell_angle_alpha 90.00
_cell_angle_beta 90.00
_cell_angle_gamma 90.00
loop_
_atom_site_label
_atom_site_fract_x
_atom_site_fract_y
_atom_site_fract_z
Tc1 0.250 0.250 0.250
Ir1 0.000 0.000 0.000
I1 0.000 0.000 0.500
```

=====

[16]
The following is a GGA-PBE calculation of a relaxed Tc2IrI crystal, from Alexandria via LeMat-Bulk.

Computed properties:
Electronic total energy (eV per atom): -6.7225
E above lowest polymorph (meV per atom): 207
ΔE_f (raw) (kcal/mol of atoms): 24.5

Geometry as CIF:
```
data_Tc2IrI
_chemical_formula_sum 'Tc8 Ir4 I4'
_symmetry_space_group_name_H-M 'I -4 2 d'
_symmetry_Int_Tables_number 122
_symmetry_space_group_name_Hall 'I -4 2bw'
_cell_length_a 5.848
_cell_length_b 5.848
_cell_length_c 11.307
_cell_angle_alpha 90.00
_cell_angle_beta 90.00
_cell_angle_gamma 90.00
loop_
_atom_site_label
_atom_site_fract_x
_atom_site_fract_y
_atom_site_fract_z
Tc1 0.215 0.250 0.125
Ir1 0.000 0.000 0.000
I1 0.000 0.000 0.500
```

=====

[17]
The following is a GGA-PBE calculation of a relaxed Tc3IrI crystal, from Alexandria via LeMat-Bulk.

Computed properties:
Electronic total energy (eV per atom): -6.5129
E above lowest polymorph (meV per atom): 0
ΔE_f (raw) (kcal/mol of atoms): 41.3

Geometry as CIF:
```
data_Tc3IrI
_chemical_formula_sum 'Tc3 Ir1 I1'
_symmetry_space_group_name_H-M 'P m -3 m'
_symmetry_Int_Tables_number 221
_symmetry_space_group_name_Hall '-P 4 2 3'
_cell_length_a 4.833
_cell_length_b 4.833
_cell_length_c 4.833
_cell_angle_alpha 90.00
_cell_angle_beta 90.00
_cell_angle_gamma 90.00
loop_
_atom_site_label
_atom_site_fract_x
_atom_site_fract_y
_atom_site_fract_z
Tc1 0.000 0.000 0.500
Ir1 0.000 0.000 0.000
I1 0.500 0.500 0.500
```

=====

[18]
The following is a GGA-PBE calculation of a relaxed TcIr3I crystal, from Alexandria via LeMat-Bulk.

Computed properties:
Electronic total energy (eV per atom): -5.9432
E above lowest polymorph (meV per atom): 0
ΔE_f (raw) (kcal/mol of atoms): 40.5

Geometry as CIF:
```
data_TcIr3I
_chemical_formula_sum 'Tc1 Ir3 I1'
_symmetry_space_group_name_H-M 'P m -3 m'
_symmetry_Int_Tables_number 221
_symmetry_space_group_name_Hall '-P 4 2 3'
_cell_length_a 4.766
_cell_length_b 4.766
_cell_length_c 4.766
_cell_angle_alpha 90.00
_cell_angle_beta 90.00
_cell_angle_gamma 90.00
loop_
_atom_site_label
_atom_site_fract_x
_atom_site_fract_y
_atom_site_fract_z
Tc1 0.000 0.000 0.000
Ir1 0.000 0.000 0.500
I1 0.500 0.500 0.500
```

=====

[19]
The following is a GGA-PBE calculation of a relaxed TcIrI3 crystal, from Alexandria via LeMat-Bulk.

Computed properties:
Electronic total energy (eV per atom): -3.6558
ΔE_f (raw) (kcal/mol of atoms): 25.8

Geometry as CIF:
```
data_TcIrI3
_chemical_formula_sum 'Tc1 Ir1 I3'
_symmetry_space_group_name_H-M 'P m -3 m'
_symmetry_Int_Tables_number 221
_symmetry_space_group_name_Hall '-P 4 2 3'
_cell_length_a 5.403
_cell_length_b 5.403
_cell_length_c 5.403
_cell_angle_alpha 90.00
_cell_angle_beta 90.00
_cell_angle_gamma 90.00
loop_
_atom_site_label
_atom_site_fract_x
_atom_site_fract_y
_atom_site_fract_z
Tc1 0.000 0.000 0.000
Ir1 0.500 0.500 0.500
I1 0.000 0.500 0.500
```

=====

[20]
The following is a GGA-PBE calculation of a relaxed TcTeIrI2 crystal, from Alexandria via LeMat-Bulk.

Computed properties:
Electronic total energy (eV per atom): -3.6655
E above lowest polymorph (meV per atom): 318
ΔE_f (raw) (kcal/mol of atoms): 32.9

Geometry as CIF:
```
data_TcTeIrI2
_chemical_formula_sum 'Tc1 Te1 Ir1 I2'
_symmetry_space_group_name_H-M 'P 4/m m m'
_symmetry_Int_Tables_number 123
_symmetry_space_group_name_Hall '-P 4 2'
_cell_length_a 5.394
_cell_length_b 5.394
_cell_length_c 5.078
_cell_angle_alpha 90.00
_cell_angle_beta 90.00
_cell_angle_gamma 90.00
loop_
_atom_site_label
_atom_site_fract_x
_atom_site_fract_y
_atom_site_fract_z
Tc1 0.000 0.000 0.000
Te1 0.000 0.000 0.500
Ir1 0.500 0.500 0.500
I1 0.000 0.500 0.000
```